Record 1
# CsBaOF2

An optimized crystal structure of CsBaOF2 (PBE-GGA, Alexandria).

Properties
D(E_F), states/eV per cell: 0.8
Total energy, eV/atom: -4.770
Uncorrected formation energy, eV/atom: -2.47

a b c (Å): 5.174 5.174 4.611
angles (deg): 90.00 90.00 90.00
Fractional positions:
O 0.000 0.000 0.500
Cs 0.500 0.500 0.500
Ba 0.000 0.000 0.000
F 0.500 0.000 0.000
F 0.000 0.500 0.000



Record 2
# Be3Ni2Pd2

An optimized crystal structure of Be3Ni2Pd2 (PBE-GGA, Alexandria).

Properties
D(E_F), states/eV per cell: 2.1
Total energy, eV/atom: -5.071
Formation energy from the elements, eV/atom: -0.3387

a b c (Å): 3.879 3.879 6.378
angles (deg): 89.81 107.89 120.12
Fractional positions:
Pd 0.767 0.383 0.149
Pd 0.233 0.617 0.851
Ni 0.737 0.869 0.608
Ni 0.263 0.131 0.392
Be 0.000 0.000 0.000
Be 0.497 0.250 0.749
Be 0.503 0.750 0.251



Record 3
# La2Ga3Ni2

An optimized crystal structure of La2Ga3Ni2 (PBE-GGA, Alexandria).

Properties
D(E_F), states/eV per cell: 4.6
Total energy, eV/atom: -4.914
Formation energy from the elements, eV/atom: -0.5575

a b c (Å): 4.129 5.758 7.108
angles (deg): 117.34 90.00 111.01
Fractional positions:
La 0.137 0.275 0.773
La 0.863 0.725 0.227
Ga 0.500 0.000 0.000
Ga 0.354 0.708 0.563
Ga 0.646 0.292 0.437
Ni 0.868 0.735 0.794
Ni 0.132 0.265 0.206